Tb2Y7Tm: optimized geometry, PBE.

Values from the calculation:
The electronic total energy comes out at -5.78 eV/atom. The magnetization comes out at 0.0 μB/f.u.

Cell: 15.1776 15.1776 3.5009 Å, 90.05 90.05 156.52°
Closest atoms and distances in Å follow each position.
Sites, in units of the cell vectors:
Tb  0.1916  0.8084  0.0000  8 Y 3.29-3.59, 2 Tb 3.50
Tb  0.8084  0.1916  0.0000  8 Y 3.29-3.59, 2 Tb 3.50
Y  0.1542  0.3536  0.7332  1 Tb 3.29, 1 Tm 3.45, 8 Y 3.46-3.66
Y  0.2930  0.7070  0.5000  6 Tb 3.49-3.59, 4 Y 3.50-3.63
Y  0.3536  0.1542  0.7332  1 Tb 3.29, 1 Tm 3.45, 8 Y 3.46-3.66
Y  0.5000  0.5000  0.0000  6 Y 3.46-3.50, 4 Tm 3.54-3.56
Y  0.6464  0.8458  0.2668  1 Tb 3.29, 1 Tm 3.45, 8 Y 3.46-3.66
Y  0.7070  0.2930  0.5000  6 Tb 3.49-3.59, 4 Y 3.50-3.63
Y  0.8458  0.6464  0.2668  1 Tb 3.29, 1 Tm 3.45, 8 Y 3.46-3.66
Tm  0.0000  0.0000  0.5000  8 Y 3.45-3.56, 2 Tm 3.50


Tb2Y3Tm8: optimized geometry, PBE.

Values from the calculation:
The electronic total energy comes out at -4.70 eV/atom. The magnetization comes out at 0.0 μB/f.u.

Cell: 7.5179 5.5292 10.8298 Å, 90.00 110.29 90.00°
Closest atoms and distances in Å follow each position.
Sites, in units of the cell vectors:
Tb  0.2419  0.0000  0.4829  8 Tm 3.35-3.53
Tb  0.7581  0.0000  0.5171  8 Tm 3.35-3.53
Y  0.0000  0.0000  0.0000  4 Tm 3.10
Y  0.2838  0.5000  0.9999  3 Y 3.25-3.49, 6 Tm 3.45-3.55
Y  0.7162  0.5000  0.0001  3 Y 3.25-3.49, 6 Tm 3.45-3.55
Tm  0.1333  0.5000  0.2665  2 Y 3.45, 2 Tb 3.53, 6 Tm 3.54-3.82
Tm  0.1770  0.0000  0.7805  1 Y 3.10, 3 Tm 3.21-3.39, 2 Tb 3.42-3.44
Tm  0.3345  0.5000  0.6685  2 Tb 3.35, 4 Tm 3.39, 2 Y 3.74
Tm  0.3962  0.0000  0.2194  1 Y 3.10, 3 Tm 3.21-3.39, 2 Tb 3.42-3.43
Tm  0.6038  0.0000  0.7806  1 Y 3.10, 3 Tm 3.21-3.39, 2 Tb 3.42-3.43
Tm  0.6655  0.5000  0.3315  2 Tb 3.35, 4 Tm 3.39, 2 Y 3.74
Tm  0.8230  0.0000  0.2195  1 Y 3.10, 3 Tm 3.21-3.39, 2 Tb 3.42-3.44
Tm  0.8667  0.5000  0.7335  2 Y 3.45, 2 Tb 3.53, 6 Tm 3.54-3.82